No. 1
The following is a DFT calculation (PBE-GGA) of KTa2Re after structural relaxation.

calculated formation energy	6.07	eV per formula unit
distance to the lowest polymorph of the same formula	90.2	kJ per mole of atoms
Fermi-level density of states	4.78	states/eV per cell

a b c (Å): 2.700 5.338 5.485
angles (deg): 90.00 90.00 90.00
Space group Pmmm (No. 47)
Inequivalent atoms, fractional coordinates:
K1 0.000 0.000 0.000 x1
Ta1 0.000 0.500 0.500 x1
Ta2 0.500 0.500 0.000 x1
Re1 0.500 0.000 0.500 x1


No. 2
The following is a DFT calculation (PBE-GGA) of Y6Ir5 after structural relaxation.

calculated formation energy	-8.44	eV per formula unit
Fermi-level density of states	9.83	states/eV per cell

a b c (Å): 4.882 6.721 14.672
angles (deg): 90.00 90.00 90.00
Space group Immm (No. 71)
Inequivalent atoms, fractional coordinates:
Y1 0.000 0.248 0.000 x4
Y2 0.000 0.252 0.334 x8
Ir1 0.000 0.000 0.168 x4
Ir2 0.000 0.000 0.500 x2
Ir3 0.000 0.500 0.166 x4


No. 3
The following is a DFT calculation (PBE-GGA) of Rb6PdAu2O after structural relaxation.

formation energy (no corrections)	-0.3593	eV per atom

a b c (Å): 8.136 8.629 14.194
angles (deg): 90.00 124.50 90.00
Space group P2_1/c (No. 14)
Inequivalent atoms, fractional coordinates:
Rb1 0.121 0.035 0.227 x4
Rb2 0.224 0.719 0.056 x4
Rb3 0.333 0.174 0.051 x4
Pd1 0.500 0.000 0.500 x2
Au1 0.278 0.077 0.752 x4
O1 0.000 0.000 0.000 x2